# 1
This record from Alexandria via LeMat-Bulk describes a relaxed structure of ErPaTlIn. The functional is PBE.

Computed properties:
The calculation puts the density of states at the Fermi level at 34.643 states/eV/cell. The volume is 430 Å³ per cell.

abc: 7.5467 7.5467 7.5467
angles: 90.00 90.00 90.00
Last column: nearest neighbours and their distance in Å.
Space group F-43m (No. 216)
One atom of each set of equivalent atoms:
Er (0.0000, 0.0000, 0.0000)  4 In 3.27, 4 Tl 3.27
Pa (0.0000, 0.0000, 0.5000)  4 Tl 3.27, 4 In 3.27
Tl (0.2500, 0.2500, 0.2500)  4 Pa 3.27, 4 Er 3.27
In (0.2500, 0.2500, 0.7500)  4 Pa 3.27, 4 Er 3.27


# 2
This record from Alexandria via LeMat-Bulk describes a relaxed structure of Hf12AlSb6. The functional is PBE.

Computed properties:
For the formation energy from raw total energies, the calculation gives -46 meV per atom. The calculation puts the density of states at the Fermi level at 55.509 states/eV/cell. The volume is 1377 Å³ per cell.

abc: 11.7952 11.7952 11.4291
angles: 90.00 90.00 120.00
Last column: nearest neighbours and their distance in Å.
Space group R-3 (No. 148, hexagonal axes)
One atom of each set of equivalent atoms:
Hf (0.0354, 0.8612, 0.3847)  4 Sb 2.89-3.20, 3 Hf 3.06-3.24
Hf (0.0685, 0.8816, 0.8436)  1 Al 2.63, 2 Sb 2.80-2.89
Al (0.0000, 0.0000, 0.0000)  6 Hf 2.63
Sb (0.0221, 0.6136, 0.2977)  5 Hf 2.80-3.02


# 3
This record from Alexandria via LeMat-Bulk describes a relaxed structure of DyNpPd. The functional is PBE.

Computed properties:
The calculation puts the density of states at the Fermi level at 20.857 states/eV/cell. The volume is 268 Å³ per cell.

abc: 10.0628 4.9342 6.9951
angles: 90.00 129.37 90.00
Last column: nearest neighbours and their distance in Å.
Space group C2/m (No. 12)
One atom of each set of equivalent atoms:
Dy (0.0685, 0.0000, 0.3059)  3 Pd 2.93-3.15, 3 Np 3.04-3.26
Np (0.1165, 0.5000, 0.7130)  1 Np 2.35
Pd (0.1775, 0.5000, 0.1538)  3 Np 2.74-2.97, 1 Pd 2.76, 1 Dy 2.93


# 4
This record from Alexandria via LeMat-Bulk describes a relaxed structure of FeCo. The functional is PBE.

Computed properties:
The calculation puts the density of states at the Fermi level at 5.223 states/eV/cell. The volume is 69 Å³ per cell.

abc: 2.4673 4.6979 6.1693
angles: 78.18 82.28 79.96
Last column: nearest neighbours and their distance in Å.
Space group P1 (No. 1)
One atom of each set of equivalent atoms:
Fe (0.0000, 0.0000, 0.0000)  3 Co 2.44-2.46, 5 Fe 2.45-2.47
Fe (0.1681, 0.1655, 0.3373)  4 Co 2.43-2.46, 4 Fe 2.47
Fe (0.5052, 0.4993, 0.0006)  3 Co 2.45-2.46, 5 Fe 2.45-2.47
Co (0.3276, 0.3332, 0.6678)  3 Fe 2.43-2.46, 5 Co 2.44-2.47
Co (0.6683, 0.6666, 0.3334)  4 Fe 2.45-2.46, 4 Co 2.46-2.47
Co (0.8439, 0.8319, 0.6682)  5 Co 2.44-2.47, 3 Fe 2.44-2.46


# 5
This record from Alexandria via LeMat-Bulk describes a relaxed structure of Tb2Sm2DyY. The functional is PBE.

Computed properties:
The calculation puts the density of states at the Fermi level at 19.593 states/eV/cell. The volume is 389 Å³ per cell.

abc: 7.0272 5.6516 9.7847
angles: 90.00 90.00 90.00
Last column: nearest neighbours and their distance in Å.
Space group Pmma (No. 51)
One atom of each set of equivalent atoms:
Tb (0.2500, 0.0000, 0.1623)  7 Sm 3.29-3.69, 2 Dy 3.32
Tb (0.2500, 0.5000, 0.6704)  2 Sm 3.21, 3 Dy 3.24-3.51
Sm (0.0000, 0.5000, 0.0000)  6 Sm 3.51-3.74, 6 Tb 3.67-3.69, 2 Dy 3.76
Sm (0.2500, 0.0000, 0.8257)  5 Tb 3.21-3.52
Dy (0.2500, 0.5000, 0.3397)  5 Tb 3.24-3.51
Y (0.0000, 0.0000, 0.5000)  2 Y 3.51, 2 Sm 3.64, 4 Dy 3.68, 6 Tb 3.72-3.74


# 6
This record from Alexandria via LeMat-Bulk describes a relaxed structure of SrAg2PbCl8. The functional is PBE.

Computed properties:
For the formation energy from raw total energies, the calculation gives -1030 meV per atom. The calculation puts the density of states at the Fermi level at 7.502 states/eV/cell. The volume is 360 Å³ per cell.

abc: 6.3245 6.3682 9.0484
angles: 83.96 83.39 86.45
Last column: nearest neighbours and their distance in Å.
Space group P-1 (No. 2)
One atom of each set of equivalent atoms:
Sr (0.0000, 0.0000, 0.0000)  6 Cl 2.89-2.96
Ag (0.4989, 0.4997, 0.2441)  4 Cl 2.46-2.54
Pb (0.0000, 0.0000, 0.5000)  6 Cl 2.82-2.87
Cl (0.2186, 0.7998, 0.7413)  1 Ag 2.54
Cl (0.2329, 0.8136, 0.2514)  1 Ag 2.53
Cl (0.2918, 0.3242, 0.4653)  1 Ag 2.47
Cl (0.2976, 0.3301, 0.9804)  1 Ag 2.46


# 7
This record from Alexandria via LeMat-Bulk describes a relaxed structure of Pm2ErAg. The functional is PBE.

Computed properties:
The calculation puts the density of states at the Fermi level at 6.331 states/eV/cell. The volume is 118 Å³ per cell. The value obtained for the energy above the most stable polymorph in this dataset is 0.0220 eV per atom.

abc: 3.6585 3.6585 8.8193
angles: 90.00 90.00 90.00
Last column: nearest neighbours and their distance in Å.
Space group P4/mmm (No. 123)
One atom of each set of equivalent atoms:
Pm (0.0000, 0.0000, 0.2196)  4 Ag 3.23, 4 Er 3.58
Er (0.5000, 0.5000, 0.5000)  8 Pm 3.58, 4 Er 3.66
Ag (0.5000, 0.5000, 0.0000)  8 Pm 3.23


# 8
This record from Alexandria via LeMat-Bulk describes a relaxed structure of NiAsW4. The functional is PBE.

Computed properties:
The calculation puts the density of states at the Fermi level at 22.149 states/eV/cell. The volume is 412 Å³ per cell.

abc: 7.4412 7.4412 7.4412
angles: 90.00 90.00 90.00
Last column: nearest neighbours and their distance in Å.
Space group F-43m (No. 216)
One atom of each set of equivalent atoms:
Ni (0.0000, 0.0000, 0.0000)  12 W 3.08, 4 As 3.22
As (0.2500, 0.2500, 0.7500)  12 W 3.09, 4 Ni 3.22
W (0.1263, 0.1263, 0.3737)  6 W 2.60-2.66


# 9
This record from Alexandria via LeMat-Bulk describes a relaxed structure of PrSm2Nb. The functional is PBE.

Computed properties:
The calculation puts the density of states at the Fermi level at 20.634 states/eV/cell. The volume is 351 Å³ per cell.

abc: 3.3585 3.3585 35.9614
angles: 90.00 90.00 120.00
Last column: nearest neighbours and their distance in Å.
Space group R-3m (No. 166, hexagonal axes)
One atom of each set of equivalent atoms:
Pr (0.0000, 0.0000, 0.0000)  6 Pr 3.36, 6 Sm 3.65
Sm (0.0000, 0.0000, 0.4194)  1 Nb 2.90
Nb (0.0000, 0.0000, 0.5000)  2 Sm 2.90


# 10
This record from Alexandria via LeMat-Bulk describes a relaxed structure of Er8P3CS3. The functional is PBE.

Computed properties:
For the formation energy from raw total energies, the calculation gives -1532 meV per atom. The calculation puts the density of states at the Fermi level at 17.976 states/eV/cell. The volume is 991 Å³ per cell.

abc: 7.7599 7.7599 19.0124
angles: 90.00 90.00 120.00
Last column: nearest neighbours and their distance in Å.
Space group R-3m (No. 166, hexagonal axes)
One atom of each set of equivalent atoms:
Er (0.0000, 0.0000, 0.2473)  3 P 2.71, 3 S 2.77
Er (0.0289, 0.5144, 0.7443)  1 C 2.52, 2 P 2.74, 2 S 2.77
P (0.0000, 0.5000, 0.5000)  6 Er 2.71-2.74
C (0.0000, 0.0000, 0.0000)  6 Er 2.52
S (0.0000, 0.5000, 0.0000)  6 Er 2.77


# 11
This record from Alexandria via LeMat-Bulk describes a relaxed structure of TbDyMgPa. The functional is PBE.

Computed properties:
The calculation puts the density of states at the Fermi level at 34.677 states/eV/cell. The volume is 445 Å³ per cell.

abc: 7.6370 7.6370 7.6370
angles: 90.00 90.00 90.00
Last column: nearest neighbours and their distance in Å.
Space group F-43m (No. 216)
One atom of each set of equivalent atoms:
Tb (0.0000, 0.0000, 0.0000)  4 Pa 3.31, 4 Mg 3.31
Dy (0.0000, 0.0000, 0.5000)  4 Pa 3.31, 4 Mg 3.31
Mg (0.2500, 0.2500, 0.7500)  4 Tb 3.31, 4 Dy 3.31
Pa (0.2500, 0.2500, 0.2500)  4 Dy 3.31, 4 Tb 3.31


# 12
This record from Alexandria via LeMat-Bulk describes a relaxed structure of MgRe2Br. The functional is PBE.

Computed properties:
For the formation energy from raw total energies, the calculation gives 1290 meV per atom. The calculation puts the density of states at the Fermi level at 5.642 states/eV/cell. The volume is 65 Å³ per cell. The value obtained for the energy above the most stable polymorph in this dataset is 1.1349 eV per atom.

abc: 3.0733 3.0733 6.8303
angles: 90.00 90.00 90.00
Last column: nearest neighbours and their distance in Å.
Space group P4/mmm (No. 123)
One atom of each set of equivalent atoms:
Mg (0.0000, 0.0000, 0.0000)  8 Re 2.83, 4 Mg 3.07
Re (0.5000, 0.5000, 0.2654)  4 Br 2.70, 4 Mg 2.83
Br (0.0000, 0.0000, 0.5000)  8 Re 2.70


Calculated values (eV for the cell shown) of total energy for the records, taken in order: -76.60, -446.37, -92.77, -46.69, -58.80, -38.23, -17.32, -227.41, -65.73, -291.95, -75.81, -23.00.